(1)
VASP calculation (GGA-PBE) on VSnTeI2 after structural relaxation.

Output
Distance to the lowest polymorph of the same formula (eV per atom): 0.5465
Density of states at the Fermi level (states/eV/f.u.): 4.10
Volume (Å³ per cell): 206.69

a b c (Å): 5.9172 5.9172 5.9033
angles (deg): 90.00 90.00 90.00
With the nearest neighbours (Å) after each atom.
Space group P4/mmm (No. 123)
Symmetry-distinct sites (fractional):
V  0.0000  0.0000  0.0000 [1 per cell]  8 I 4.18, 4 Te 4.18
Sn  0.5000  0.5000  0.5000 [1 per cell]  2 Te 2.95, 4 I 2.96
Te  0.5000  0.5000  0.0000 [1 per cell]  2 Sn 2.95
I  0.0000  0.5000  0.5000 [2 per cell]  2 Sn 2.96

=====

(2)
VASP calculation (GGA-PBE) on Tm5Ir4Rh after structural relaxation.

Output
Density of states at the Fermi level (states/eV/f.u.): 2.13
E_tot (eV/f.u.): -74.42
Volume (Å³ per cell): 192.76

a b c (Å): 3.3101 3.3101 17.5931
angles (deg): 90.00 90.00 90.00
With the nearest neighbours (Å) after each atom.
Space group P4/mmm (No. 123)
Symmetry-distinct sites (fractional):
Tm  0.0000  0.0000  0.0000 [1 per cell]  8 Ir 2.93
Tm  0.0000  0.0000  0.2004 [2 per cell]  8 Ir 2.93-2.94
Tm  0.0000  0.0000  0.4002 [2 per cell]  4 Ir 2.92, 4 Rh 2.93
Ir  0.5000  0.5000  0.1003 [2 per cell]  8 Tm 2.93
Ir  0.5000  0.5000  0.3013 [2 per cell]  8 Tm 2.92-2.94
Rh  0.5000  0.5000  0.5000 [1 per cell]  8 Tm 2.93

=====

(3)
VASP calculation (GGA-PBE) on CaMgW2 after structural relaxation.

Output
Density of states at the Fermi level (states/eV/f.u.): 1.49
E_tot (eV/f.u.): -26.90
Volume (Å³ per cell): 159.27

a b c (Å): 9.4040 2.7818 6.0942
angles (deg): 90.00 92.51 90.00
With the nearest neighbours (Å) after each atom.
Space group Cm (No. 8)
Symmetry-distinct sites (fractional):
Ca  0.0000  0.0000  0.0000 [2 per cell]  2 Ca 2.78, 1 Mg 2.94, 1 W 2.98
Mg  0.2574  0.5000  0.2895 [2 per cell]  2 Mg 2.78, 5 W 2.91-2.96, 1 Ca 2.94
W  0.2459  0.0000  0.7084 [2 per cell]  5 W 2.62-2.92, 2 Mg 2.91
W  0.4941  0.0000  0.5289 [2 per cell]  5 W 2.62-2.92, 1 Mg 2.93

=====

Question: The lowest density of states at the Fermi level belongs to which entry?
Answer: CaMgW2

=====

Question: Which of these has the highest volume?
Answer: VSnTeI2

=====

Question: What is the density of states at the Fermi level in the first record?
Answer: 4.10 states/eV/f.u.